(1)
Material: Pr8MgTl2
Method: DFT, GGA-PBE
State: optimized geometry

Unit cell a=16.990 b=5.639 c=8.984 alpha=90.00 beta=121.50 gamma=90.00
Space group C2/m (No. 12)
Asymmetric unit:
Pr (0.068, 0.000, 0.223) [4 per cell]
Pr (0.092, 0.500, 0.947) [4 per cell]
Pr (0.136, 0.000, 0.686) [4 per cell]
Pr (0.180, 0.500, 0.445) [4 per cell]
Mg (0.000, 0.500, 0.500) [2 per cell]
Tl (0.229, 0.000, 0.126) [4 per cell]

Computed properties:
**E_form**: -137.0 meV/atom
**Electronic total energy**: -4.19 eV per atom


(2)
Material: Pr2Mg3Tl
Method: DFT, GGA-PBE
State: optimized geometry

Unit cell a=7.057 b=10.442 c=18.030 alpha=90.00 beta=90.00 gamma=90.00
Space group Fmmm (No. 69)
Asymmetric unit:
Pr (0.246, 0.000, 0.000) [8 per cell]
Pr (0.250, 0.250, 0.250) [8 per cell]
Mg (0.000, 0.000, 0.167) [8 per cell]
Mg (0.000, 0.247, 0.417) [16 per cell]
Tl (0.000, 0.000, 0.334) [8 per cell]

Computed properties:
**E_form**: -191.1 meV/atom
**Electronic total energy**: -2.98 eV per atom


(3)
Material: Pr4MgTl3
Method: DFT, GGA-PBE
State: optimized geometry

Unit cell a=5.518 b=5.518 c=15.926 alpha=90.00 beta=90.00 gamma=90.00
Space group I4/mmm (No. 139)
Asymmetric unit:
Pr (0.000, 0.500, 0.125) [8 per cell]
Mg (0.000, 0.000, 0.000) [2 per cell]
Tl (0.000, 0.000, 0.247) [4 per cell]
Tl (0.000, 0.000, 0.500) [2 per cell]

Computed properties:
**E_form**: -324.2 meV/atom
**Electronic total energy**: -3.80 eV per atom


(4)
Material: PrMgTl2
Method: DFT, GGA-PBE
State: optimized geometry

Unit cell a=4.8773 b=4.8773 c=16.3400 alpha=90.00 beta=90.00 gamma=120.00
Space group R-3m (No. 166, hexagonal axes)
Asymmetric unit:
Pr (0.0000, 0.0000, 0.0000) [3 per cell]
Mg (0.0000, 0.0000, 0.5000) [3 per cell]
Tl (0.0000, 0.0000, 0.2300) [6 per cell]

Computed properties:
**E_form**: -261.0 meV/atom
**Electronic total energy**: -3.04 eV per atom


(5)
Material: PrMgTl2
Method: DFT, GGA-PBE
State: optimized geometry

Unit cell a=4.858 b=4.858 c=4.611 alpha=90.00 beta=90.00 gamma=90.00
Space group P4/mmm (No. 123)
Asymmetric unit:
Pr (0.000, 0.000, 0.000) [1 per cell]
Mg (0.500, 0.500, 0.000) [1 per cell]
Tl (0.000, 0.500, 0.500) [2 per cell]

Computed properties:
**E_form**: -307.2 meV/atom
**Electronic total energy**: -3.08 eV per atom


(6)
Material: PrMg11Tl
Method: DFT, GGA-PBE
State: optimized geometry

Unit cell a=5.952 b=14.551 c=7.800 alpha=90.00 beta=111.67 gamma=90.00
Space group C2/m (No. 12)
Asymmetric unit:
Pr (0.000, 0.000, 0.000) [2 per cell]
Mg (0.000, 0.000, 0.500) [2 per cell]
Mg (0.109, 0.394, 0.212) [8 per cell]
Mg (0.169, 0.177, 0.351) [8 per cell]
Mg (0.250, 0.250, 0.000) [4 per cell]
Tl (0.000, 0.500, 0.500) [2 per cell]

Computed properties:
**E_form**: -66.8 meV/atom
**Electronic total energy**: -1.97 eV per atom


(7)
Material: Pr3MgTl4
Method: DFT, GGA-PBE
State: optimized geometry

Unit cell a=3.685 b=9.587 c=13.997 alpha=90.00 beta=90.00 gamma=90.00
Space group Immm (No. 71)
Asymmetric unit:
Pr (0.000, 0.000, 0.000) [2 per cell]
Pr (0.000, 0.500, 0.219) [4 per cell]
Mg (0.000, 0.000, 0.500) [2 per cell]
Tl (0.000, 0.257, 0.378) [8 per cell]

Computed properties:
**E_form**: -215.4 meV/atom
**Electronic total energy**: -3.39 eV per atom


(8)
Material: Pr5Mg2Tl
Method: DFT, GGA-PBE
State: optimized geometry

Unit cell a=7.919 b=7.919 c=7.998 alpha=90.00 beta=90.00 gamma=90.00
Space group I4mm (No. 107)
Asymmetric unit:
Pr (0.000, 0.000, 0.000) [2 per cell]
Pr (0.250, 0.250, 0.249) [8 per cell]
Mg (0.000, 0.500, 0.499) [4 per cell]
Tl (0.000, 0.000, 0.499) [2 per cell]

Computed properties:
**E_form**: -108.0 meV/atom
**Electronic total energy**: -3.79 eV per atom